Record 1
Compound: Y2Ni3
Source: Alexandria via LeMat-Bulk
Functional: GGA-PBEsol
Structure: optimized geometry

Results
As for the raw total energy: -6.82 eV per atom. The formation energy is -2.0 eV/f.u. The value obtained for the calculated volume is 16.8 Å³ per atom.

a = 7.849 Å, b = 5.087 Å, c = 8.609 Å
α = 64.01°, β = 35.63°, γ = 80.36°
Element x y z (fractional)
Y 0.123 0.877 0.281
Y 0.531 0.969 0.373
Y 0.877 0.123 0.719
Y 0.969 0.531 0.127
Ni 0.234 0.234 0.766
Ni 0.443 0.546 0.305
Ni 0.484 0.484 0.016
Ni 0.545 0.945 0.704
Ni 0.546 0.443 0.705
Ni 0.945 0.545 0.807

---

Record 2
Compound: Y3Ni4
Source: Alexandria via LeMat-Bulk
Functional: GGA-PBEsol
Structure: optimized geometry

Results
As for the raw total energy: -6.79 eV per atom. The formation energy is -2.4 eV/f.u. The value obtained for the calculated volume is 17.4 Å³ per atom.

a = 7.491 Å, b = 7.491 Å, c = 7.491 Å
α = 114.60°, β = 114.60°, γ = 114.60°
Element x y z (fractional)
Y 0.032 0.406 0.284
Y 0.284 0.032 0.406
Y 0.406 0.284 0.032
Y 0.594 0.716 0.968
Y 0.716 0.968 0.594
Y 0.968 0.594 0.716
Ni 0.000 0.000 0.000
Ni 0.048 0.212 0.554
Ni 0.212 0.554 0.048
Ni 0.446 0.952 0.788
Ni 0.500 0.500 0.500
Ni 0.554 0.048 0.212
Ni 0.788 0.446 0.952
Ni 0.952 0.788 0.446

---

Record 3
Compound: Y15Ni32
Source: Alexandria via LeMat-Bulk
Functional: GGA-PBEsol
Structure: optimized geometry

Results
As for the raw total energy: -6.81 eV per atom. The formation energy is -20.6 eV/f.u. The value obtained for the calculated volume is 14.8 Å³ per atom.

a = 9.956 Å, b = 9.956 Å, c = 9.956 Å
α = 60.00°, β = 60.00°, γ = 60.00°
Element x y z (fractional)
Y 0.000 0.000 0.000
Y 0.013 0.013 0.487
Y 0.013 0.487 0.013
Y 0.013 0.487 0.487
Y 0.380 0.873 0.873
Y 0.401 0.401 0.401
Y 0.401 0.401 0.798
Y 0.401 0.798 0.401
Y 0.487 0.013 0.013
Y 0.487 0.013 0.487
Y 0.487 0.487 0.013
Y 0.798 0.401 0.401
Y 0.873 0.380 0.873
Y 0.873 0.873 0.380
Y 0.873 0.873 0.873
Ni 0.174 0.440 0.693
Ni 0.174 0.693 0.440
Ni 0.174 0.693 0.693
Ni 0.188 0.188 0.188
Ni 0.188 0.188 0.435
Ni 0.188 0.188 0.688
Ni 0.188 0.188 0.937
Ni 0.188 0.435 0.188
Ni 0.188 0.688 0.188
Ni 0.188 0.688 0.937
Ni 0.188 0.937 0.188
Ni 0.188 0.937 0.688
Ni 0.435 0.188 0.188
Ni 0.440 0.174 0.693
Ni 0.440 0.693 0.174
Ni 0.440 0.693 0.693
Ni 0.688 0.188 0.188
Ni 0.688 0.188 0.937
Ni 0.688 0.688 0.688
Ni 0.688 0.688 0.935
Ni 0.688 0.935 0.688
Ni 0.688 0.937 0.188
Ni 0.693 0.174 0.440
Ni 0.693 0.174 0.693
Ni 0.693 0.440 0.174
Ni 0.693 0.440 0.693
Ni 0.693 0.693 0.174
Ni 0.693 0.693 0.440
Ni 0.935 0.688 0.688
Ni 0.937 0.188 0.188
Ni 0.937 0.188 0.688
Ni 0.937 0.688 0.188

---

The highest raw total energy belongs to which entry?
Y3Ni4